A plane-wave DFT calculation with PBE was carried out for a relaxed AcLa7Ho2 crystal.

Calculated values
ΔE to the lowest computed polymorph, meV per atom: 0
Uncorrected energy, eV for the cell shown: -46.2

a = 9.695 Å, b = 9.695 Å, c = 7.846 Å
α = 113.77°, β = 113.77°, γ = 34.33°
Fractional positions:
Ac (0.000, 0.000, 0.000)
La (0.156, 0.156, 0.657)
La (0.369, 0.369, 0.068)
La (0.369, 0.369, 0.668)
La (0.500, 0.500, 0.500)
La (0.631, 0.631, 0.332)
La (0.631, 0.631, 0.932)
La (0.844, 0.844, 0.343)
Ho (0.214, 0.214, 0.214)
Ho (0.786, 0.786, 0.786)

A plane-wave DFT calculation with PBE was carried out for a relaxed Ac4LaHo crystal.

Calculated values
ΔE to the lowest computed polymorph, meV per atom: 0
Uncorrected energy, eV for the cell shown: -25.1

a = 3.747 Å, b = 6.220 Å, c = 10.691 Å
α = 90.00°, β = 90.00°, γ = 90.00°
Fractional positions:
Ac (0.000, 0.000, 0.166)
Ac (0.000, 0.000, 0.834)
Ac (0.000, 0.500, 0.330)
Ac (0.000, 0.500, 0.670)
La (0.500, 0.000, 0.500)
Ho (0.500, 0.500, 0.000)

A plane-wave DFT calculation with PBE was carried out for a relaxed Ac2La5Ho crystal.

Calculated values
ΔE to the lowest computed polymorph, meV per atom: 54
Uncorrected energy, eV for the cell shown: -36.8

a = 12.127 Å, b = 12.127 Å, c = 12.127 Å
α = 162.40°, β = 145.34°, γ = 39.13°
Fractional positions:
Ac (0.242, 0.242, 0.000)
Ac (0.758, 0.758, 0.000)
La (0.000, 0.000, 0.000)
La (0.134, 0.386, 0.748)
La (0.362, 0.614, 0.748)
La (0.638, 0.386, 0.252)
La (0.866, 0.614, 0.252)
Ho (0.500, 0.000, 0.500)

A plane-wave DFT calculation with PBE was carried out for a relaxed Ac4La11Ho9 crystal.

Calculated values
Uncorrected energy, eV for the cell shown: -110.0

a = 15.301 Å, b = 15.301 Å, c = 3.704 Å
α = 90.00°, β = 90.00°, γ = 93.12°
Fractional positions:
Ac (0.052, 0.222, 0.000)
Ac (0.222, 0.052, 0.000)
Ac (0.778, 0.948, 0.000)
Ac (0.948, 0.778, 0.000)
La (0.089, 0.427, 0.500)
La (0.160, 0.840, 0.500)
La (0.268, 0.268, 0.500)
La (0.330, 0.670, 0.500)
La (0.427, 0.089, 0.500)
La (0.500, 0.500, 0.500)
La (0.573, 0.911, 0.500)
La (0.670, 0.330, 0.500)
La (0.732, 0.732, 0.500)
La (0.840, 0.160, 0.500)
La (0.911, 0.573, 0.500)
Ho (0.000, 0.000, 0.000)
Ho (0.125, 0.629, 0.000)
Ho (0.295, 0.470, 0.000)
Ho (0.371, 0.875, 0.000)
Ho (0.470, 0.295, 0.000)
Ho (0.530, 0.705, 0.000)
Ho (0.629, 0.125, 0.000)
Ho (0.705, 0.530, 0.000)
Ho (0.875, 0.371, 0.000)